No. 1
An optimized crystal structure of CeGdH. Source: Alexandria via LeMat-Bulk, functional PBE-GGA.

```
CeGdH
1.0
-2.840 -2.025 0.637
3.238 -1.444 -0.019
0.515 1.081 5.736
Ce Gd H
1 1 1
Cartesian
-0.598 -1.378 2.823 Ce
0.469 0.984 5.221 Gd
1.558 -0.912 4.046 H
```

Computed properties:
As for the space group: P3m1.


No. 2
An optimized crystal structure of NaTl2Hg8. Source: Alexandria via LeMat-Bulk, functional PBE-GGA.

```
NaTl2Hg8
1.0
-0.172 4.631 1.500
-2.528 -1.367 3.933
11.436 -1.759 6.741
Tl Hg Na
2 8 1
Cartesian
3.800 -0.584 2.240 Tl
7.636 -1.175 4.501 Tl
9.629 0.821 6.476 Hg
8.451 -2.178 7.693 Hg
0.457 -0.948 2.981 Hg
4.454 -1.563 5.337 Hg
6.329 0.451 7.242 Hg
2.407 1.054 4.931 Hg
5.632 1.436 4.120 Hg
1.636 2.051 1.765 Hg
0.000 0.000 0.000 Na
```

Computed properties:
As for the energy of formation from the pure elements: -0.062 eV/atom. As for the space group: P4/mmm.


no.,electronic total energy (eV per cell)
1,-23.862
2,-9.149